In2CoAsO6: relaxed, GGA+U.

Results
As for the total magnetization: 0.000 μB/cell. The energy comes out at -5.664 eV per atom.

Lattice parameters (Å, degrees): 5.8188 5.8188 5.8188 54.18 54.18 54.18
Fractional positions:
In  0.0000  0.0000  0.0000
In  0.4754  0.4754  0.4754
Co  0.7903  0.7903  0.7903
As  0.2626  0.2626  0.2626
O  0.0385  0.6924  0.4337
O  0.1570  0.5668  0.9067
O  0.4337  0.0385  0.6924
O  0.5668  0.9067  0.1570
O  0.6924  0.4337  0.0385
O  0.9067  0.1570  0.5668